A plane-wave DFT calculation with PBE with a Hubbard U was carried out for a relaxed Na3Cr3SnO8 crystal. Values from VASP.

Output
calculated volume = 179.7 Å³ per cell
total magnetic moment = 9.00 μB per formula unit
raw total energy = -6.523 eV per atom

```
&SYSTEM
  ibrav = 0, nat = 15, ntyp = 4
/
ATOMIC_SPECIES
Na 22.99 Na.upf
Cr 52.00 Cr.upf
Sn 118.71 Sn.upf
O 16.00 O.upf
ATOMIC_POSITIONS crystal
Na 0.000 0.500 0.500
Na 0.500 0.000 0.500
Na 0.500 0.500 0.000
Cr 0.000 0.000 0.500
Cr 0.000 0.500 0.000
Cr 0.500 0.000 0.000
Sn 0.500 0.500 0.500
O 0.228 0.734 0.734
O 0.230 0.230 0.230
O 0.266 0.266 0.772
O 0.266 0.772 0.266
O 0.734 0.228 0.734
O 0.734 0.734 0.228
O 0.770 0.770 0.770
O 0.772 0.266 0.266
CELL_PARAMETERS angstrom
3.068 1.771 5.513
-3.068 1.771 5.513
0.000 -3.542 5.513
```